1.
CdTc2Te PBE-GGA optimized geometry; DOS(E_F) = 4.27 states/eV/f.u.; electronic total energy = -22.7 eV per cell; ρ = 10.47 g/cm3; ΔE to the lowest computed polymorph = 311.6 meV/atom
1.0
4.5899 0.0000 0.0000
0.0000 4.5899 0.0000
0.0000 0.0000 3.2810
Cd Tc Te
1 2 1
Direct
0.0000 0.0000 0.0000
0.0000 0.5000 0.5000
0.5000 0.0000 0.5000
0.5000 0.5000 0.0000

=====

2.
CdTc2Te PBE-GGA optimized geometry; DOS(E_F) = 3.68 states/eV/f.u.; electronic total energy = -21.7 eV per cell; ρ = 9.75 g/cm3; ΔE to the lowest computed polymorph = 554.7 meV/atom
1.0
1.6064 -2.6163 0.0000
1.6064 2.6163 0.0000
0.0000 0.0000 8.8351
Cd Tc Te
1 2 1
Direct
0.0000 0.0000 0.0000
0.5000 0.5000 0.2686
0.5000 0.5000 0.7314
0.0000 0.0000 0.5000

=====

3.
CdTcTe PBE-GGA optimized geometry; DOS(E_F) = 1.83 states/eV/f.u.; electronic total energy = -13.0 eV per cell; ρ = 8.78 g/cm3; ΔE to the lowest computed polymorph = 329.0 meV/atom
1.0
4.4881 0.0000 0.0000
-2.2440 3.8868 0.0000
0.0000 0.0000 3.6635
Cd Tc Te
1 1 1
Direct
0.0000 0.0000 0.0000
0.3333 0.6667 0.5000
0.6667 0.3333 0.5000

=====

4.
CdTcTe2 PBE-GGA optimized geometry; DOS(E_F) = 2.62 states/eV/f.u.; electronic total energy = -16.9 eV per cell; ρ = 6.38 g/cm3
1.0
4.4864 0.0000 0.0000
0.0000 4.2976 0.0000
-0.0149 0.0000 6.2895
Cd Tc Te
1 1 2
Direct
0.0000 0.0000 0.0000
0.0032 0.5000 0.3148
0.0055 0.0000 0.5419
0.5023 0.5000 0.0955

=====

5.
CdTc2Te PBE-GGA optimized geometry; DOS(E_F) = 4.03 states/eV/f.u.; electronic total energy = -22.0 eV per cell; ρ = 9.97 g/cm3; ΔE to the lowest computed polymorph = 480.2 meV/atom
1.0
0.0000 3.3119 3.3119
3.3119 0.0000 3.3119
3.3119 3.3119 0.0000
Cd Tc Te
1 2 1
Direct
0.0000 0.0000 0.0000
0.2500 0.2500 0.2500
0.5000 0.5000 0.5000
0.7500 0.7500 0.7500

=====

6.
CdTc2Te PBE-GGA optimized geometry; DOS(E_F) = 4.40 states/eV/f.u.; electronic total energy = -21.7 eV per cell; ρ = 9.82 g/cm3; ΔE to the lowest computed polymorph = 560.7 meV/atom
1.0
3.4346 0.0000 0.0000
0.0000 4.4197 0.0000
0.0000 0.0000 4.8575
Cd Tc Te
1 2 1
Direct
0.0000 0.0000 0.0000
0.0000 0.5000 0.5000
0.5000 0.5000 0.0000
0.5000 0.0000 0.5000

=====

7.
CdTc2Te PBE-GGA optimized geometry; DOS(E_F) = 3.39 states/eV/f.u.; electronic total energy = -22.9 eV per cell; ρ = 8.35 g/cm3; ΔE to the lowest computed polymorph = 246.9 meV/atom
1.0
3.2025 0.0000 0.0000
0.0000 4.0664 0.0000
-0.0531 0.0000 6.6586
Cd Tc Te
1 2 1
Direct
0.0000 0.0000 0.0000
0.5037 0.0000 0.3577
0.9640 0.5000 0.3311
0.4677 0.5000 0.6615

=====

8.
CdTc2Te PBE-GGA optimized geometry; DOS(E_F) = 2.40 states/eV/f.u.; electronic total energy = -23.9 eV per cell; ρ = 9.02 g/cm3; ΔE to the lowest computed polymorph = 0.0 meV/atom
1.0
3.0445 0.0000 0.0000
0.0000 3.0445 0.0000
0.0000 0.0000 8.6578
Cd Tc Te
1 2 1
Direct
0.0000 0.0000 0.0000
0.0000 0.0000 0.4044
0.5000 0.5000 0.2255
0.5000 0.5000 0.6216